Entry 1:
{"formula": "MgCoNi3", "functional": "meta-GGA SCAN", "state": "single point on PBEsol structure", "cell": [[-3.765, 1.783, -0.179], [-0.928, -2.296, -3.355], [-1.533, -2.989, 2.470]], "species": ["Ni", "Ni", "Ni", "Mg", "Co"], "fractional_positions": [[0.000, 0.500, 0.000], [0.000, 0.000, 0.500], [0.500, 0.000, 0.000], [0.000, 0.000, 0.000], [0.500, 0.500, 0.500]], "formation_energy_mev_per_atom": 1442, "spacegroup": "Pm-3m, No. 221", "crystal_system": "cubic", "m_tot_mub_per_fu": 3.43, "dos_at_fermi_per_ev_fu": 4.03, "total_energy_ev_per_atom": -12.717, "mass_density_g_cm3": 5.9}

Entry 2:
{"formula": "KP2Se", "functional": "meta-GGA SCAN", "state": "single point on PBEsol structure", "cell": [[3.348, 0.000, 0.000], [-1.674, 4.975, 0.028], [0.000, -2.609, 5.462]], "species": ["K", "P", "P", "Se"], "fractional_positions": [[0.725, 0.451, 0.239], [0.938, 0.876, 0.829], [0.280, 0.561, 0.811], [0.556, 0.112, 0.620]], "spacegroup": "Cm, No. 8", "crystal_system": "monoclinic", "m_tot_mub_per_fu": 0.00, "dos_at_fermi_per_ev_fu": 0.55, "total_energy_ev_per_atom": -12.475, "mass_density_g_cm3": 3.3}

Entry 3:
{"formula": "HfWC2", "functional": "meta-GGA SCAN", "state": "single point on PBEsol structure", "cell": [[-2.415, -0.722, 3.011], [-0.348, -3.650, 1.406], [1.474, -0.894, 3.528]], "species": ["C", "C", "Hf", "W"], "fractional_positions": [[0.250, 0.250, 0.250], [0.750, 0.750, 0.750], [0.000, 0.000, 0.000], [0.500, 0.500, 0.500]], "formation_energy_mev_per_atom": 589, "spacegroup": "Fm-3m, No. 225", "crystal_system": "cubic", "m_tot_mub_per_fu": 0.00, "dos_at_fermi_per_ev_fu": 2.05, "total_energy_ev_per_atom": -37.551, "mass_density_g_cm3": 15.0}

Entry 4:
{"formula": "NaCd4As3", "functional": "meta-GGA SCAN", "state": "single point on PBEsol structure", "cell": [[4.441, 0.000, 0.000], [2.221, 3.846, 0.000], [2.221, 1.282, 11.107]], "species": ["Na", "As", "As", "As", "Cd", "Cd", "Cd", "Cd"], "fractional_positions": [[0.500, 0.500, 0.500], [0.219, 0.219, 0.342], [0.781, 0.781, 0.658], [0.000, 0.000, 0.000], [0.094, 0.094, 0.717], [0.906, 0.906, 0.283], [0.299, 0.299, 0.103], [0.701, 0.701, 0.897]], "formation_energy_mev_per_atom": -268, "spacegroup": "R-3m, No. 166", "crystal_system": "trigonal", "m_tot_mub_per_fu": 0.00, "dos_at_fermi_per_ev_fu": 0.32, "total_energy_ev_per_atom": -23.573, "mass_density_g_cm3": 6.1}

Entry 5:
{"formula": "Na6ZnSn2", "functional": "meta-GGA SCAN", "state": "single point on PBEsol structure", "cell": [[5.427, 0.000, 0.000], [-2.714, 4.971, 0.004], [0.000, -1.259, 9.099]], "species": ["Na", "Na", "Na", "Na", "Na", "Na", "Zn", "Sn", "Sn"], "fractional_positions": [[0.473, 0.946, 0.284], [0.173, 0.346, 0.597], [0.302, 0.603, 0.940], [0.827, 0.654, 0.403], [0.527, 0.054, 0.716], [0.698, 0.397, 0.060], [0.000, 0.000, 0.000], [0.146, 0.292, 0.252], [0.854, 0.708, 0.748]], "formation_energy_mev_per_atom": -211, "spacegroup": "C2/m, No. 12", "crystal_system": "monoclinic", "m_tot_mub_per_fu": 0.00, "dos_at_fermi_per_ev_fu": 0.51, "total_energy_ev_per_atom": -12.505, "mass_density_g_cm3": 3.0}

Entry 6:
{"formula": "Ta2AlCrSn", "functional": "meta-GGA SCAN", "state": "single point on PBEsol structure", "cell": [[4.415, 0.000, 0.000], [0.000, 4.713, 0.000], [0.000, 0.000, 4.713]], "species": ["Cr", "Al", "Sn", "Ta", "Ta"], "fractional_positions": [[0.500, 0.000, 0.000], [0.000, 0.000, 0.000], [0.500, 0.500, 0.500], [0.000, 0.000, 0.500], [0.000, 0.500, 0.000]], "formation_energy_mev_per_atom": 1061, "spacegroup": "P4/mmm, No. 123", "crystal_system": "tetragonal", "m_tot_mub_per_fu": 3.30, "dos_at_fermi_per_ev_fu": 3.61, "total_energy_ev_per_atom": -37.984, "mass_density_g_cm3": 9.5}

Entry 7:
{"formula": "ScI2Br", "functional": "meta-GGA SCAN", "state": "single point on PBEsol structure", "cell": [[5.287, 0.000, 0.000], [2.643, 7.323, 0.000], [2.643, 0.000, 7.323]], "species": ["I", "I", "I", "I", "Sc", "Sc", "Br", "Br"], "fractional_positions": [[0.267, 0.858, 0.358], [0.483, 0.142, 0.642], [0.375, 0.358, 0.142], [0.875, 0.642, 0.858], [0.250, 0.500, 0.500], [0.500, 0.000, 0.000], [0.750, 0.500, 0.500], [0.000, 0.000, 0.000]], "spacegroup": "I-42d, No. 122", "crystal_system": "tetragonal", "m_tot_mub_per_fu": 0.00, "dos_at_fermi_per_ev_fu": 0.00, "total_energy_ev_per_atom": -28.068, "mass_density_g_cm3": 4.4}

Entry 8:
{"formula": "Rb2NaInSi", "functional": "meta-GGA SCAN", "state": "single point on PBEsol structure", "cell": [[5.245, 0.000, 0.000], [0.000, 6.213, 0.000], [0.000, 0.000, 6.213]], "species": ["Na", "Si", "Rb", "Rb", "In"], "fractional_positions": [[0.000, 0.000, 0.000], [0.500, 0.000, 0.000], [0.000, 0.000, 0.500], [0.000, 0.500, 0.000], [0.500, 0.500, 0.500]], "spacegroup": "P4/mmm, No. 123", "crystal_system": "tetragonal", "m_tot_mub_per_fu": 0.72, "dos_at_fermi_per_ev_fu": 3.65, "total_energy_ev_per_atom": -17.298, "mass_density_g_cm3": 2.8}

Entry 9:
{"formula": "LaCdHgSe2", "functional": "meta-GGA SCAN", "state": "single point on PBEsol structure", "cell": [[-4.458, 1.201, -3.217], [-2.896, -4.148, 2.465], [-2.061, 4.032, 4.362]], "species": ["Cd", "Hg", "Se", "Se", "La"], "fractional_positions": [[0.500, 0.500, 0.500], [0.000, 0.000, 0.500], [0.000, 0.500, 0.000], [0.500, 0.000, 0.000], [0.000, 0.000, 0.000]], "spacegroup": "P4/mmm, No. 123", "crystal_system": "tetragonal", "m_tot_mub_per_fu": 0.95, "dos_at_fermi_per_ev_fu": 2.51, "total_energy_ev_per_atom": -36.793, "mass_density_g_cm3": 5.1}

Entry 10:
{"formula": "KSi2Pt2", "functional": "meta-GGA SCAN", "state": "single point on PBEsol structure", "cell": [[-3.254, -1.034, -2.544], [1.686, -3.866, -0.585], [-1.862, 0.675, 5.669]], "species": ["K", "Si", "Si", "Pt", "Pt"], "fractional_positions": [[0.000, 0.000, 0.000], [0.250, 0.750, 0.500], [0.750, 0.250, 0.500], [0.360, 0.360, 0.720], [0.640, 0.640, 0.280]], "spacegroup": "I4/mmm, No. 139", "crystal_system": "tetragonal", "m_tot_mub_per_fu": 0.00, "dos_at_fermi_per_ev_fu": 1.74, "total_energy_ev_per_atom": -34.363, "mass_density_g_cm3": 8.6}

Entry 11:
{"formula": "La2MoRh", "functional": "meta-GGA SCAN", "state": "single point on PBEsol structure", "cell": [[-3.125, -0.317, -0.216], [0.282, -0.697, -3.058], [0.763, -8.950, 2.109]], "species": ["La", "La", "Mo", "Rh"], "fractional_positions": [[0.000, 0.000, 0.940], [0.500, 0.500, 0.309], [0.000, 0.000, 0.554], [0.500, 0.500, 0.697]], "formation_energy_mev_per_atom": 80, "relative_energy_mev_per_atom": 0, "spacegroup": "P4mm, No. 99", "crystal_system": "tetragonal", "m_tot_mub_per_fu": 0.00, "dos_at_fermi_per_ev_fu": 3.32, "total_energy_ev_per_atom": -38.636, "mass_density_g_cm3": 8.7}

Entry 12:
{"formula": "MoP2Ru", "functional": "meta-GGA SCAN", "state": "single point on PBEsol structure", "cell": [[-1.647, -2.392, 0.428], [2.017, -0.755, 3.547], [-2.780, 2.284, 2.067]], "species": ["Mo", "P", "P", "Ru"], "fractional_positions": [[0.500, 0.000, 0.000], [0.000, 0.000, 0.500], [0.000, 0.500, 0.000], [0.500, 0.500, 0.500]], "formation_energy_mev_per_atom": -334, "spacegroup": "P4/mmm, No. 123", "crystal_system": "tetragonal", "m_tot_mub_per_fu": 0.00, "dos_at_fermi_per_ev_fu": 1.83, "total_energy_ev_per_atom": -22.961, "mass_density_g_cm3": 8.5}